# 1
A plane-wave DFT calculation with PBE was carried out for Dy2ScN after structural relaxation.

Unit cell a=9.231 b=9.231 c=9.231 alpha=21.30 beta=21.30 gamma=21.30
Element x y z (fractional)
Dy  0.117  0.117  0.117
Dy  0.883  0.883  0.883
Sc  0.000  0.000  0.000
N  0.500  0.500  0.500

***

# 2
A plane-wave DFT calculation with PBE was carried out for DySc3N4 after structural relaxation.

Unit cell a=5.660 b=6.551 c=5.662 alpha=90.00 beta=109.45 gamma=90.00
Element x y z (fractional)
Dy  0.000  0.128  0.250
Dy  0.000  0.872  0.750
Sc  0.000  0.378  0.750
Sc  0.000  0.622  0.250
Sc  0.500  0.131  0.750
Sc  0.500  0.377  0.250
Sc  0.500  0.623  0.750
Sc  0.500  0.869  0.250
N  0.253  0.381  0.507
N  0.253  0.619  0.007
N  0.261  0.133  0.998
N  0.261  0.867  0.498
N  0.739  0.133  0.502
N  0.739  0.867  0.002
N  0.747  0.381  0.993
N  0.747  0.619  0.493

***

# 3
A plane-wave DFT calculation with PBE was carried out for DySc2TcN4 after structural relaxation.

Unit cell a=5.807 b=5.807 c=11.008 alpha=90.00 beta=90.00 gamma=147.24
Element x y z (fractional)
Dy  0.131  0.869  0.750
Dy  0.869  0.131  0.250
Sc  0.369  0.631  0.536
Sc  0.369  0.631  0.964
Sc  0.631  0.369  0.036
Sc  0.631  0.369  0.464
Tc  0.131  0.869  0.250
Tc  0.869  0.131  0.750
N  0.000  0.000  0.000
N  0.000  0.000  0.500
N  0.260  0.740  0.122
N  0.260  0.740  0.378
N  0.463  0.537  0.750
N  0.537  0.463  0.250
N  0.740  0.260  0.622
N  0.740  0.260  0.878

***

# 4
A plane-wave DFT calculation with PBE was carried out for DyScTiN3 after structural relaxation.

Unit cell a=6.329 b=3.187 c=8.804 alpha=90.00 beta=94.33 gamma=90.00
Element x y z (fractional)
Dy  0.175  0.250  0.227
Dy  0.825  0.750  0.773
Sc  0.352  0.750  0.887
Sc  0.648  0.250  0.113
Ti  0.147  0.250  0.579
Ti  0.853  0.750  0.421
N  0.129  0.250  0.803
N  0.189  0.750  0.454
N  0.395  0.750  0.125
N  0.605  0.250  0.875
N  0.811  0.250  0.546
N  0.871  0.750  0.197

***

# 5
A plane-wave DFT calculation with PBE was carried out for Dy2ScTlN after structural relaxation.

Unit cell a=4.817 b=4.817 c=4.519 alpha=90.00 beta=90.00 gamma=90.00
Element x y z (fractional)
Dy  0.000  0.500  0.000
Dy  0.500  0.000  0.000
Sc  0.000  0.000  0.500
Tl  0.500  0.500  0.500
N  0.000  0.000  0.000

***

# 6
A plane-wave DFT calculation with PBE was carried out for Dy2TmScN4 after structural relaxation.

Unit cell a=5.870 b=3.393 c=5.871 alpha=90.00 beta=109.43 gamma=90.00
Element x y z (fractional)
Dy  0.000  0.000  0.000
Dy  0.500  0.500  0.000
Tm  0.000  0.500  0.500
Sc  0.500  0.000  0.500
N  0.252  0.000  0.743
N  0.257  0.500  0.260
N  0.743  0.500  0.740
N  0.748  0.000  0.257

***

# 7
A plane-wave DFT calculation with PBE was carried out for DyScW2N6 after structural relaxation.

Unit cell a=7.421 b=7.421 c=6.237 alpha=108.85 beta=108.85 gamma=80.03
Element x y z (fractional)
Dy  0.096  0.904  0.750
Dy  0.904  0.096  0.250
Sc  0.270  0.730  0.250
Sc  0.730  0.270  0.750
W  0.209  0.379  0.815
W  0.379  0.209  0.315
W  0.621  0.791  0.685
W  0.791  0.621  0.185
N  0.004  0.221  0.671
N  0.130  0.628  0.850
N  0.221  0.004  0.171
N  0.315  0.395  0.138
N  0.372  0.870  0.650
N  0.395  0.315  0.638
N  0.605  0.685  0.362
N  0.628  0.130  0.350
N  0.685  0.605  0.862
N  0.779  0.996  0.829
N  0.870  0.372  0.150
N  0.996  0.779  0.329

***

# 8
A plane-wave DFT calculation with PBE was carried out for DyZrSc2N4 after structural relaxation.

Unit cell a=5.660 b=3.281 c=5.697 alpha=90.00 beta=109.37 gamma=90.00
Element x y z (fractional)
Dy  0.000  0.000  0.000
Zr  0.000  0.500  0.500
Sc  0.500  0.000  0.500
Sc  0.500  0.500  0.000
N  0.254  0.000  0.743
N  0.259  0.500  0.263
N  0.741  0.500  0.737
N  0.746  0.000  0.257

***

Number 1: Fermi-level density of states 5.35 states/eV/cell, calculated total energy -6.5983 eV/atom. Number 2: Fermi-level density of states 0.79 states/eV/cell, calculated total energy -8.9315 eV/atom. Number 3: Fermi-level density of states 3.16 states/eV/cell, calculated total energy -8.7994 eV/atom. Number 4: Fermi-level density of states 2.58 states/eV/cell, calculated total energy -8.7334 eV/atom. Number 5: Fermi-level density of states 2.71 states/eV/cell, calculated total energy -6.2088 eV/atom. Number 6: Fermi-level density of states 0.23 states/eV/cell, calculated total energy -8.4152 eV/atom. Number 7: Fermi-level density of states 0.00 states/eV/cell, calculated total energy -9.6412 eV/atom. Number 8: Fermi-level density of states 1.16 states/eV/cell, calculated total energy -9.1994 eV/atom.